Entry 1:
Density functional theory data (GGA-PBEsol) for a geometry-optimized MgCr3 structure.

extended XYZ file:
```
4
Lattice="-4.6541 -1.8789 1.2010 1.2122 -4.4647 -2.2871 1.8716 -1.7805 4.4677" Properties=species:S:1:pos:R:3 pbc="T T T"
Cr -2.3271 -0.9394 0.6005
Cr 0.6061 -2.2323 -1.1436
Cr 0.9358 -0.8903 2.2338
Mg 0.0000 0.0000 0.0000
```

ΔH_f (0 K)   2.589 eV/atom
Density   2.178 g cm⁻³

***

Entry 2:
Density functional theory data (GGA-PBEsol) for a geometry-optimized Mg2Cr structure.

extended XYZ file:
```
3
Lattice="3.0144 0.0000 0.0000 -1.5072 2.6106 0.0000 0.0000 0.0000 7.2764" Properties=species:S:1:pos:R:3 pbc="T T T"
Cr 0.0000 0.0000 0.0000
Mg 0.0000 1.7404 2.2934
Mg 1.5072 0.8702 4.9831
```

ΔH_f (0 K)   0.547 eV/atom
Density   2.918 g cm⁻³

***

Entry 3:
Density functional theory data (GGA-PBEsol) for a geometry-optimized MgCr2 structure.

extended XYZ file:
```
3
Lattice="2.5092 0.0000 0.0000 0.0000 4.2688 0.0000 0.0000 -2.1344 3.6969" Properties=species:S:1:pos:R:3 pbc="T T T"
Cr 1.2546 2.1344 1.2323
Cr 1.2546 0.0000 2.4646
Mg 0.0000 0.0000 0.0000
```

ΔH_f (0 K)   0.641 eV/atom
Density   5.380 g cm⁻³

***

Entry 4:
Density functional theory data (GGA-PBEsol) for a geometry-optimized MgCr5 structure.

extended XYZ file:
```
6
Lattice="-0.7862 -1.6603 -2.1972 -0.8712 -3.1465 2.6894 -5.2312 2.8215 1.6064" Properties=species:S:1:pos:R:3 pbc="T T T"
Cr -4.1775 0.5097 -0.7569
Cr -1.8399 0.6514 0.1661
Cr -0.3931 -0.8302 -1.0986
Cr -4.0256 -0.3022 1.6688
Cr -2.8630 -1.6831 0.4298
Mg -0.4356 -1.5733 1.3447
```

ΔH_f (0 K)   0.358 eV/atom
Density   6.508 g cm⁻³

***

> Number 2 is which compound?

Mg2Cr

***

> Among the records above, which one has the highest ΔH_f (0 K)?

MgCr3

***

> Which value of ΔH_f (0 K) does entry 3 give?

0.641 eV/atom